Computed, not measured: a relaxed YCoCuSi2 crystal at the GGA-PBE level of DFT.

Lattice parameters (Å, degrees): 5.602 5.602 5.602 138.62 138.62 59.95
Fractional positions:
1 Co 0.500 0.500 0.000
2 Cu 0.000 0.000 0.000
3 Si 0.626 0.126 0.500
4 Si 0.874 0.374 0.500
5 Y 0.250 0.750 0.500

density = 5.84 g/cm³
total magnetic moment = 0.09 μB/atom
raw total energy = -0.4613 Ry/atom

***

Computed, not measured: a relaxed Zr2Cd3Mo4C3 crystal at the GGA-PBE level of DFT.

Lattice parameters (Å, degrees): 5.522 5.522 14.562 101.03 101.03 60.17
Fractional positions:
1 C 0.666 0.167 0.000
2 C 0.000 0.500 0.000
3 C 0.334 0.833 0.000
4 C 0.167 0.666 0.500
5 C 0.500 0.000 0.500
6 C 0.833 0.334 0.500
7 Cd 0.417 0.158 0.249
8 Cd 0.996 0.004 0.250
9 Cd 0.842 0.583 0.251
10 Cd 0.158 0.417 0.749
11 Cd 0.004 0.996 0.750
12 Cd 0.583 0.842 0.751
13 Mo 0.691 0.850 0.073
14 Mo 0.018 0.198 0.073
15 Mo 0.802 0.982 0.427
16 Mo 0.150 0.309 0.427
17 Mo 0.850 0.691 0.573
18 Mo 0.198 0.018 0.573
19 Mo 0.982 0.802 0.927
20 Mo 0.309 0.150 0.927
21 Zr 0.371 0.534 0.100
22 Zr 0.466 0.629 0.400
23 Zr 0.534 0.371 0.600
24 Zr 0.629 0.466 0.900

density = 8.31 g/cm³
total magnetic moment = 0.00 μB/atom
raw total energy = -0.5728 Ry/atom